Material: K3Li
Method: DFT, GGA-PBE
State: relaxed

Computed properties:
Magnetization = 0.0 Bohr magnetons per cell
Energy of formation = 117 meV/atom

Unit cell a=7.7317 b=7.7317 c=7.7317 alpha=90.00 beta=90.00 gamma=90.00
With the nearest neighbours (Å) after each atom.
Fractional coordinates of all 8 atoms:
K  0.7500  0.5000  0.0000  2 K 3.87, 4 Li 4.32
K  0.2500  0.5000  0.0000  2 K 3.87, 4 Li 4.32
K  0.0000  0.7500  0.5000  2 K 3.87, 4 Li 4.32
K  0.0000  0.2500  0.5000  2 K 3.87, 4 Li 4.32
K  0.5000  0.0000  0.2500  2 K 3.87, 4 Li 4.32
K  0.5000  0.0000  0.7500  2 K 3.87, 4 Li 4.32
Li  0.0000  0.0000  0.0000  12 K 4.32
Li  0.5000  0.5000  0.5000  12 K 4.32